First-principles (PBE) data for a geometry-optimized Ce2SiPt6Au structure, as listed in Alexandria.

Structure (POSCAR):
```
Ce2SiPt6Au
1.0
6.7865 -0.0004 0.0000
0.0004 6.7865 0.0000
3.3934 3.3930 4.7988
Pt Au Si Ce
6 1 1 2
direct
0.7338 0.2662 0.0000
0.7338 0.7338 0.0000
0.7338 0.7338 0.5324
0.2662 0.7338 0.0000
0.2662 0.2662 0.4676
0.2662 0.2662 0.0000
0.0000 0.0000 0.0000
0.5000 0.5000 0.0000
0.2500 0.7500 0.5000
0.7500 0.2500 0.5000
```

Properties
**Formation energy from raw total energies**: -0.30 eV/atom
**Calculated volume**: 221.0 Å³/cell

---

First-principles (PBE) data for a geometry-optimized Ce2Si4Pt3Au structure, as listed in Alexandria.

Structure (POSCAR):
```
Ce2Si4Pt3Au
1.0
-0.1568 -2.1842 -3.6907
-3.3656 -2.2263 1.4606
-6.1044 6.7700 -3.7471
Si Ce Pt Au
4 2 3 1
direct
0.0000 0.0000 0.0000
0.5000 0.5000 0.0000
0.0000 0.5000 0.3622
0.5000 0.0000 0.6378
0.0000 0.5000 0.7554
0.5000 0.0000 0.2446
0.5000 0.0000 0.8817
0.0000 0.5000 0.1183
0.0000 0.0000 0.5000
0.5000 0.5000 0.5000
```

Properties
**Formation energy from raw total energies**: -0.99 eV/atom
**Calculated volume**: 181.5 Å³/cell

---

First-principles (PBE) data for a geometry-optimized Ce3Si6Pt2Au structure, as listed in Alexandria.

Structure (POSCAR):
```
Ce3Si6Pt2Au
1.0
-0.7709 -1.3718 -5.1735
-0.7477 -3.6615 3.9084
-8.9165 2.5245 0.6592
Si Ce Au Pt
6 3 1 2
direct
0.8267 0.6534 0.7231
0.1733 0.8267 0.2769
0.8267 0.1733 0.7231
0.3466 0.1733 0.7231
0.1733 0.3466 0.2769
0.6534 0.8267 0.2769
0.0000 0.0000 0.0000
0.3333 0.6667 0.5843
0.6667 0.3333 0.4157
0.0000 0.0000 0.5000
0.6667 0.3333 0.9348
0.3333 0.6667 0.0652
```

Properties
**Formation energy from raw total energies**: -0.45 eV/atom
**Calculated volume**: 235.3 Å³/cell

---

First-principles (PBE) data for a geometry-optimized CeSmPtAu structure, as listed in Alexandria.

Structure (POSCAR):
```
CeSmPtAu
1.0
-1.9094 -1.6896 4.4526
-2.4093 -4.5254 0.2059
2.1991 -3.9707 2.3925
Au Sm Ce Pt
1 1 1 1
direct
0.2500 0.2500 0.2500
0.5000 0.5000 0.5000
0.0000 0.0000 0.0000
0.7500 0.7500 0.7500
```

Properties
**Formation energy from the elements**: -850 meV/atom
**Calculated volume**: 95.5 Å³/cell

---

First-principles (PBE) data for a geometry-optimized CeSmPtAu structure, as listed in Alexandria.

Structure (POSCAR):
```
CeSmPtAu
1.0
-2.7216 -1.8513 2.0225
-2.1784 -0.9765 -3.8252
4.3010 -3.8845 -1.4577
Sm Pt Au Ce
1 1 1 1
direct
0.1425 0.0000 0.2849
0.4045 0.0000 0.8090
0.5867 0.5000 0.1734
0.8664 0.5000 0.7327
```

Properties
**Formation energy from the elements**: -950 meV/atom
**Calculated volume**: 98.5 Å³/cell

---

First-principles (PBE) data for a geometry-optimized CeSnPtAu structure, as listed in Alexandria.

Structure (POSCAR):
```
CeSnPtAu
1.0
4.9679 0.0000 0.0000
2.4840 4.3023 0.0000
2.4840 1.4341 4.0563
Sn Au Pt Ce
1 1 1 1
direct
0.5000 0.5000 0.5000
0.2500 0.2500 0.2500
0.7500 0.7500 0.7500
0.0000 0.0000 0.0000
```

Properties
**Formation energy from the elements**: -735 meV/atom
**Calculated volume**: 86.7 Å³/cell

---

First-principles (PBE) data for a geometry-optimized Ce2Sn4Pt3Au structure, as listed in Alexandria.

Structure (POSCAR):
```
Ce2Sn4Pt3Au
1.0
-4.3120 -1.7317 -0.2574
1.6153 -4.1991 1.1902
-1.5497 2.3262 10.3101
Pt Ce Sn Au
3 2 4 1
direct
0.0000 0.5000 0.1246
0.5000 0.0000 0.8754
0.0000 0.0000 0.5000
0.5000 0.0000 0.2587
0.0000 0.5000 0.7413
0.5000 0.0000 0.6331
0.0000 0.0000 0.0000
0.0000 0.5000 0.3669
0.5000 0.5000 0.0000
0.5000 0.5000 0.5000
```

Properties
**Formation energy from the elements**: -735 meV/atom
**Calculated volume**: 231.4 Å³/cell

---

First-principles (PBE) data for a geometry-optimized CeThPtAu structure, as listed in Alexandria.

Structure (POSCAR):
```
CeThPtAu
1.0
5.1593 0.0000 0.0000
2.5796 4.4681 0.0000
2.5796 1.4894 4.2125
Pt Ce Au Th
1 1 1 1
direct
0.7500 0.7500 0.7500
0.5000 0.5000 0.5000
0.2500 0.2500 0.2500
0.0000 0.0000 0.0000
```

Properties
**Formation energy from the elements**: -775 meV/atom
**Calculated volume**: 97.1 Å³/cell

---

First-principles (PBE) data for a geometry-optimized CeThPtAu structure, as listed in Alexandria.

Structure (POSCAR):
```
CeThPtAu
1.0
-1.5114 3.6197 -0.1638
-3.9985 -1.6077 1.3664
2.2665 -0.9321 5.5360
Pt Au Ce Th
1 1 1 1
direct
0.4038 0.0000 0.8076
0.5874 0.5000 0.1749
0.1426 0.0000 0.2851
0.8662 0.5000 0.7324
```

Properties
**Formation energy from the elements**: -891 meV/atom
**Calculated volume**: 101.7 Å³/cell

---

First-principles (PBE) data for a geometry-optimized CeTlPtAu structure, as listed in Alexandria.

Structure (POSCAR):
```
CeTlPtAu
1.0
5.0120 0.0000 0.0000
2.5060 4.3405 0.0000
2.5060 1.4468 4.0923
Pt Tl Au Ce
1 1 1 1
direct
0.7500 0.7500 0.7500
0.5000 0.5000 0.5000
0.2500 0.2500 0.2500
0.0000 0.0000 0.0000
```

Properties
**Formation energy from the elements**: -571 meV/atom
**Calculated volume**: 89.0 Å³/cell

---

First-principles (PBE) data for a geometry-optimized CeUPt8Au2 structure, as listed in Alexandria.

Structure (POSCAR):
```
CeUPt8Au2
1.0
-4.9464 -2.1023 7.5493
-4.5696 -6.5951 4.6370
-0.4732 -5.0620 7.7480
Pt Au U Ce
8 2 1 1
direct
0.9370 0.4402 0.9370
0.4402 0.9370 0.9370
0.6876 0.6876 0.6876
0.9370 0.4366 0.4366
0.4366 0.9370 0.4366
0.9370 0.9370 0.4402
0.1876 0.1876 0.1876
0.4366 0.4366 0.9370
0.3757 0.3757 0.3757
0.8744 0.8744 0.8744
0.5003 0.5003 0.5003
0.0000 0.0000 0.0000
```

Properties
**Formation energy from the elements**: -682 meV/atom
**Calculated volume**: 217.9 Å³/cell

---

First-principles (PBE) data for a geometry-optimized CeZnPtAu structure, as listed in Alexandria.

Structure (POSCAR):
```
CeZnPtAu
1.0
4.5021 0.0000 0.0000
-2.2510 3.8959 -0.0028
0.0000 -2.5941 4.7049
Au Zn Ce Pt
1 1 1 1
direct
0.8406 0.6812 0.1635
0.1027 0.2053 0.9501
0.6215 0.2431 0.5069
0.4015 0.8030 0.8469
```

Properties
**Formation energy from the elements**: -721 meV/atom
**Calculated volume**: 82.5 Å³/cell

---

First-principles (PBE) data for a geometry-optimized CeZnPtAu structure, as listed in Alexandria.

Structure (POSCAR):
```
CeZnPtAu
1.0
-4.2216 0.2961 -2.3607
-1.8122 -3.9061 -2.2228
-3.9334 -2.1967 1.7848
Au Pt Zn Ce
1 1 1 1
direct
0.7500 0.7500 0.7500
0.2500 0.2500 0.2500
0.5000 0.5000 0.5000
0.0000 0.0000 0.0000
```

Properties
**Formation energy from the elements**: -643 meV/atom
**Calculated volume**: 80.5 Å³/cell

---

First-principles (PBE) data for a geometry-optimized Ce2PuAu4 structure, as listed in Alexandria.

Structure (POSCAR):
```
Ce2PuAu4
1.0
0.2533 -5.5032 -0.6063
4.8258 -0.0780 2.7245
-5.4050 2.1017 3.9965
Au Ce Pu
4 2 1
direct
0.8792 0.3792 0.7584
0.1208 0.6208 0.2416
0.3792 0.8792 0.7584
0.6208 0.1208 0.2416
0.2689 0.2689 0.5378
0.7311 0.7311 0.4622
0.0000 0.0000 0.0000
```

Properties
**Formation energy from the elements**: -450 meV/atom
**Calculated volume**: 179.8 Å³/cell

---

First-principles (PBE) data for a geometry-optimized CePu2Au structure, as listed in Alexandria.

Structure (POSCAR):
```
CePu2Au
1.0
-1.1289 -3.1955 1.5840
3.4163 -0.4917 1.4428
-1.9847 3.6467 5.9423
Pu Au Ce
2 1 1
direct
0.0000 0.0000 0.2278
0.0000 0.0000 0.7722
0.5000 0.5000 0.0000
0.5000 0.5000 0.5000
```

Properties
**Formation energy from the elements**: -108 meV/atom
**Calculated volume**: 101.4 Å³/cell

---

First-principles (PBE) data for a geometry-optimized Ce5PuAu5 structure, as listed in Alexandria.

Structure (POSCAR):
```
Ce5PuAu5
1.0
0.2108 -4.7822 1.4161
8.0901 0.1517 -0.6922
-3.6337 4.2521 6.1019
Au Ce Pu
5 5 1
direct
0.2722 0.7722 0.5443
0.3483 0.3483 0.6966
0.6517 0.6517 0.3034
0.0000 0.5000 0.0000
0.7278 0.2278 0.4557
0.1339 0.9282 0.2678
0.5000 0.0000 0.0000
0.8661 0.6604 0.7322
0.1339 0.3396 0.2678
0.8661 0.0718 0.7322
0.0000 0.0000 0.0000
```

Properties
**Formation energy from the elements**: -393 meV/atom
**Calculated volume**: 274.4 Å³/cell

---

First-principles (PBE) data for a geometry-optimized Ce7PuAu2 structure, as listed in Alexandria.

Structure (POSCAR):
```
Ce7PuAu2
1.0
7.5930 0.0000 3.7029
3.1608 8.1461 3.1549
0.6021 -0.1806 8.4017
Ce Pu Au
14 2 4
direct
0.1047 0.6167 0.5293
0.4684 0.7500 0.2500
0.8953 0.3833 0.4707
0.3374 0.1940 0.5474
0.6950 0.5102 0.8701
0.0788 0.3060 0.9526
0.6626 0.8060 0.4526
0.5316 0.2500 0.7500
0.0752 0.9898 0.6299
0.3050 0.4898 0.1299
0.2507 0.8833 0.9707
0.7493 0.1167 0.0293
0.9212 0.6940 0.0474
0.9248 0.0102 0.3701
0.9732 0.2500 0.7500
0.0268 0.7500 0.2500
0.3082 0.1273 0.2026
0.3619 0.6273 0.7026
0.6918 0.8727 0.7974
0.6381 0.3727 0.2974
```

Properties
**Formation energy from the elements**: -225 meV/atom
**Calculated volume**: 503.7 Å³/cell

---

First-principles (PBE) data for a geometry-optimized Ce12PuAu6 structure, as listed in Alexandria.

Structure (POSCAR):
```
Ce12PuAu6
1.0
8.2640 0.1376 0.1649
-1.1168 8.1893 0.1649
-1.1168 -1.3012 8.0870
Ce Au Pu
12 6 1
direct
0.2329 0.4480 0.6029
0.6029 0.2329 0.4480
0.0231 0.7074 0.9333
0.9333 0.0231 0.7074
0.9769 0.2926 0.0667
0.3971 0.7671 0.5520
0.2926 0.0667 0.9769
0.5520 0.3971 0.7671
0.7074 0.9333 0.0231
0.4480 0.6029 0.2329
0.0667 0.9769 0.2926
0.7671 0.5520 0.3971
0.6084 0.2966 0.0989
0.0989 0.6084 0.2966
0.9011 0.3916 0.7034
0.7034 0.9011 0.3916
0.2966 0.0989 0.6084
0.3916 0.7034 0.9011
0.0000 0.0000 0.0000
```

Properties
**Formation energy from the elements**: -312 meV/atom
**Calculated volume**: 552.0 Å³/cell

---

First-principles (PBE) data for a geometry-optimized Ce2Pu3Au3 structure, as listed in Alexandria.

Structure (POSCAR):
```
Ce2Pu3Au3
1.0
-0.8936 -1.3934 3.2704
4.3539 -3.1481 -0.1516
3.3855 9.1376 2.7641
Au Ce Pu
3 2 3
direct
0.1325 0.1325 0.2650
0.8675 0.8675 0.7350
0.0000 0.5000 0.0000
0.7641 0.2641 0.5282
0.2359 0.7359 0.4718
0.5000 0.0000 0.0000
0.3711 0.3711 0.7422
0.6289 0.6289 0.2578
```

Properties
**Formation energy from the elements**: -308 meV/atom
**Calculated volume**: 189.0 Å³/cell

---

First-principles (PBE) data for a geometry-optimized Ce3PuAu structure, as listed in Alexandria.

Structure (POSCAR):
```
Ce3PuAu
1.0
6.2172 0.0000 0.0000
0.0000 7.9794 0.0000
0.0000 0.0000 10.0294
Pu Au Ce
4 4 12
direct
0.0000 0.5000 0.5000
0.0000 0.5000 0.0000
0.5000 0.0000 0.5000
0.5000 0.0000 0.0000
0.3700 0.5899 0.2500
0.8700 0.9101 0.7500
0.1300 0.0899 0.2500
0.6300 0.4101 0.7500
0.3912 0.3073 0.4556
0.8632 0.4459 0.2500
0.1088 0.8073 0.4556
0.6088 0.6927 0.5444
0.6368 0.9459 0.2500
0.1368 0.5541 0.7500
0.8912 0.1927 0.5444
0.1088 0.8073 0.0444
0.3912 0.3073 0.0444
0.6088 0.6927 0.9556
0.3632 0.0541 0.7500
0.8912 0.1927 0.9556
```

Properties
**Formation energy from the elements**: -196 meV/atom
**Calculated volume**: 497.6 Å³/cell

---

no.,E_tot (eV/atom),D(E_F) (states/eV per atom)
1,-5.981,1.78
2,-6.485,0.91
3,-5.929,1.04
4,-5.843,1.97
5,-5.943,1.62
6,-5.549,1.07
7,-5.663,1.53
8,-6.443,2.04
9,-6.559,1.83
10,-4.976,1.34
11,-6.691,0.62
12,-4.852,1.48
13,-4.774,0.97
14,-6.066,2.66
15,-9.577,3.32
16,-5.883,1.38
17,-6.468,2.30
18,-5.849,2.02
19,-8.395,2.83
20,-7.279,1.91